# Cs2Se2S3 GGA-PBE relaxed
data_Cs2Se2S3
_symmetry_space_group_name_H-M 'P -1'
_symmetry_Int_Tables_number 2
_symmetry_space_group_name_Hall '-P 1'
_cell_length_a 4.6904
_cell_length_b 7.1789
_cell_length_c 7.7486
_cell_angle_alpha 91.54
_cell_angle_beta 105.62
_cell_angle_gamma 90.22
loop_
_atom_site_label
_atom_site_type_symbol
_atom_site_fract_x
_atom_site_fract_y
_atom_site_fract_z
Cs1 Cs 0.1215 0.2377 0.2752
Se1 Se 0.4696 0.2730 0.8071
S1 S 0.1969 0.7414 0.3425
S2 S 0.5000 0.0000 0.0000
# ΔE to the lowest computed polymorph ... 0.000 eV per formula unit
# Size of the total moment ... 0.000 μB/atom
# Raw formation energy ... -0.52 eV/atom


# Cs2Se2S3 GGA-PBE relaxed
data_Cs2Se2S3
_symmetry_space_group_name_H-M 'C 1 2/m 1'
_symmetry_Int_Tables_number 12
_symmetry_space_group_name_Hall '-C 2y'
_cell_length_a 15.7289
_cell_length_b 5.5312
_cell_length_c 6.4937
_cell_angle_alpha 90.00
_cell_angle_beta 113.36
_cell_angle_gamma 90.00
loop_
_atom_site_label
_atom_site_type_symbol
_atom_site_fract_x
_atom_site_fract_y
_atom_site_fract_z
Cs1 Cs 0.1047 0.0000 0.3344
Se1 Se 0.1668 0.5000 0.7786
S1 S 0.0000 0.5000 0.5000
S2 S 0.2058 0.5000 0.1329
# ΔE to the lowest computed polymorph ... 0.243 eV per formula unit
# Size of the total moment ... 0.000 μB/atom
# Raw formation energy ... -0.48 eV/atom


# Cs4SeS GGA-PBE relaxed
data_Cs4SeS
_symmetry_space_group_name_H-M 'R -3 m'
_symmetry_Int_Tables_number 166
_symmetry_space_group_name_Hall '-R 3 2"'
_cell_length_a 5.9177
_cell_length_b 5.9177
_cell_length_c 29.0016
_cell_angle_alpha 90.00
_cell_angle_beta 90.00
_cell_angle_gamma 120.00
loop_
_atom_site_label
_atom_site_type_symbol
_atom_site_fract_x
_atom_site_fract_y
_atom_site_fract_z
Cs1 Cs 0.0000 0.0000 0.1224
Cs2 Cs 0.0000 0.0000 0.3726
Se1 Se 0.0000 0.0000 0.5000
S1 S 0.0000 0.0000 0.0000
# Size of the total moment ... 0.000 μB/atom
# Raw formation energy ... -1.04 eV/atom


# CsSeS2 GGA-PBE relaxed
data_CsSeS2
_symmetry_space_group_name_H-M 'R -3 m'
_symmetry_Int_Tables_number 166
_symmetry_space_group_name_Hall '-R 3 2"'
_cell_length_a 5.9150
_cell_length_b 5.9150
_cell_length_c 19.6727
_cell_angle_alpha 90.00
_cell_angle_beta 90.00
_cell_angle_gamma 120.00
loop_
_atom_site_label
_atom_site_type_symbol
_atom_site_fract_x
_atom_site_fract_y
_atom_site_fract_z
Cs1 Cs 0.0000 0.0000 0.0000
Se1 Se 0.0000 0.0000 0.5000
S1 S 0.0000 0.0000 0.3840
# Size of the total moment ... 0.250 μB/atom
# Raw formation energy ... -0.02 eV/atom


# Cs2SeS3 GGA-PBE relaxed
data_Cs2SeS3
_symmetry_space_group_name_H-M 'C 1 2/c 1'
_symmetry_Int_Tables_number 15
_symmetry_space_group_name_Hall '-C 2yc'
_cell_length_a 12.8669
_cell_length_b 6.8680
_cell_length_c 11.6706
_cell_angle_alpha 90.00
_cell_angle_beta 118.10
_cell_angle_gamma 90.00
loop_
_atom_site_label
_atom_site_type_symbol
_atom_site_fract_x
_atom_site_fract_y
_atom_site_fract_z
Cs1 Cs 0.1708 0.0820 0.0926
Se1 Se 0.0000 0.3650 0.7500
S1 S 0.0000 0.0416 0.7500
S2 S 0.0696 0.4262 0.5740
# ΔE to the lowest computed polymorph ... 0.000 eV per formula unit
# Size of the total moment ... 0.000 μB/atom
# Raw formation energy ... -0.64 eV/atom


# Cs4SeS4 GGA-PBE relaxed
data_Cs4SeS4
_symmetry_space_group_name_H-M 'I 4/m'
_symmetry_Int_Tables_number 87
_symmetry_space_group_name_Hall '-I 4'
_cell_length_a 10.2476
_cell_length_b 10.2476
_cell_length_c 6.8838
_cell_angle_alpha 90.00
_cell_angle_beta 90.00
_cell_angle_gamma 90.00
loop_
_atom_site_label
_atom_site_type_symbol
_atom_site_fract_x
_atom_site_fract_y
_atom_site_fract_z
Cs1 Cs 0.0869 0.2915 0.0000
Se1 Se 0.0000 0.0000 0.5000
S1 S 0.0734 0.2308 0.5000
# Size of the total moment ... 0.114 μB/atom
# Raw formation energy ... -0.61 eV/atom